1.
Material: ZnCr2Os
Method: DFT, PBE
State: relaxed

Cell: 2.671 2.671 7.383 Å, 90.00 90.00 90.00°
Sites, in units of the cell vectors:
Zn  0.000  0.000  0.000
Cr  0.000  0.000  0.500
Cr  0.500  0.500  0.259
Os  0.500  0.500  0.729

Summary:
The density of states at the Fermi level comes out at 4.44 states/eV per cell. The calculated formation energy is 5.9 kcal/mol of atoms. Its total energy is -7.68 eV per atom.

2.
Material: Zn2CrOs
Method: DFT, PBE
State: relaxed

Cell: 3.179 3.179 5.619 Å, 90.00 90.00 90.00°
Sites, in units of the cell vectors:
Zn  0.000  0.000  0.245
Zn  0.000  0.000  0.755
Cr  0.500  0.500  0.500
Os  0.500  0.500  0.000

Summary:
The density of states at the Fermi level comes out at 3.52 states/eV per cell. The calculated formation energy is 7.6 kcal/mol of atoms. Its total energy is -5.52 eV per atom.

3.
Material: ZnCr2Os
Method: DFT, PBE
State: relaxed

Cell: 4.617 4.617 4.617 Å, 133.11 133.11 68.49°
Sites, in units of the cell vectors:
Zn  0.000  0.000  0.000
Cr  0.250  0.750  0.500
Cr  0.750  0.250  0.500
Os  0.500  0.500  0.000

Summary:
The density of states at the Fermi level comes out at 5.10 states/eV per cell. The calculated formation energy is 6.0 kcal/mol of atoms. Its total energy is -7.68 eV per atom.